Entry 1:
Na2ZrTe4Au after structural relaxation, computed with PBE.

## Properties
ΔE_f (raw)   -0.651 eV per atom
E_tot   -4.030 eV per atom

```
data_Na2ZrTe4Au
_cell_length_a 8.131
_cell_length_b 4.155
_cell_length_c 8.301
_cell_angle_alpha 90.00
_cell_angle_beta 116.51
_cell_angle_gamma 90.00
_space_group_name_H-M_alt 'P 1 2/m 1'
_space_group_IT_number 10
loop_
_space_group_symop_operation_xyz
'x,y,z'
'-x,-y,-z'
'-x,y,-z'
'x,-y,z'
loop_
_atom_site_label
_atom_site_fract_x
_atom_site_fract_y
_atom_site_fract_z
Na1 0.000 0.000 0.000
Na2 0.000 0.500 0.500
Zr1 0.500 0.000 0.500
Te1 0.239 0.500 0.297
Te2 0.340 0.000 0.760
Au1 0.500 0.500 0.000
```

Entry 2:
NbTcGe2O after structural relaxation, computed with PBE.

## Properties
ΔE_f (raw)   1.371 eV per atom
E_tot   -5.555 eV per atom

```
data_NbTcGe2O
_cell_length_a 5.023
_cell_length_b 5.023
_cell_length_c 4.718
_cell_angle_alpha 90.00
_cell_angle_beta 90.00
_cell_angle_gamma 90.00
_space_group_name_H-M_alt 'P 4/m m m'
_space_group_IT_number 123
_space_group_name_Hall '-P 4 2'
loop_
_atom_site_label
_atom_site_fract_x
_atom_site_fract_y
_atom_site_fract_z
Nb1 0.000 0.000 0.000
Tc1 0.000 0.000 0.500
Ge1 0.000 0.500 0.000
O1 0.500 0.500 0.500
```

Entry 3:
LiPmNd2S4 after structural relaxation, computed with PBE.

## Properties
ΔE_f (raw)   -1.917 eV per atom
E_tot   -6.006 eV per atom

```
data_LiPmNd2S4
_cell_length_a 6.946
_cell_length_b 4.023
_cell_length_c 6.948
_cell_angle_alpha 90.00
_cell_angle_beta 109.49
_cell_angle_gamma 90.00
_space_group_name_H-M_alt 'P 1 2/m 1'
_space_group_IT_number 10
loop_
_space_group_symop_operation_xyz
'x,y,z'
'-x,-y,-z'
'-x,y,-z'
'x,-y,z'
loop_
_atom_site_label
_atom_site_fract_x
_atom_site_fract_y
_atom_site_fract_z
Li1 0.000 0.000 0.000
Pm1 0.500 0.500 0.000
Nd1 0.000 0.500 0.500
Nd2 0.500 0.000 0.500
S1 0.243 0.500 0.241
S2 0.246 0.000 0.758
```

Entry 4:
Cs2AsOsCl6 after structural relaxation, computed with PBE.

## Properties
ΔE_f (raw)   -0.805 eV per atom
E_tot   -3.671 eV per atom

```
data_Cs2AsOsCl6
_cell_length_a 7.106
_cell_length_b 7.106
_cell_length_c 11.831
_cell_angle_alpha 90.00
_cell_angle_beta 90.00
_cell_angle_gamma 90.00
_space_group_name_H-M_alt 'I 4/m m m'
_space_group_IT_number 139
_space_group_name_Hall '-I 4 2'
loop_
_atom_site_label
_atom_site_fract_x
_atom_site_fract_y
_atom_site_fract_z
Cs1 0.000 0.500 0.250
As1 0.000 0.000 0.000
Os1 0.000 0.000 0.500
Cl1 0.000 0.000 0.299
Cl2 0.242 0.242 0.500
```

Entry 5:
Y3ErS3 after structural relaxation, computed with PBE.

## Properties
ΔE_f (raw)   -1.689 eV per atom
E_tot   -6.880 eV per atom

```
data_Y3ErS3
_cell_length_a 10.832
_cell_length_b 10.977
_cell_length_c 5.506
_cell_angle_alpha 90.00
_cell_angle_beta 90.00
_cell_angle_gamma 90.00
_space_group_name_H-M_alt 'C m c m'
_space_group_IT_number 63
_space_group_name_Hall '-C 2c 2'
loop_
_atom_site_label
_atom_site_fract_x
_atom_site_fract_y
_atom_site_fract_z
Y1 0.000 0.122 0.250
Y2 0.246 0.377 0.250
Er1 0.000 0.377 0.750
S1 0.000 0.128 0.750
S2 0.248 0.373 0.750
```

Entry 6:
SnSb2TeOs after structural relaxation, computed with PBE.

## Properties
Energy above the most stable polymorph in this dataset   0 meV/atom
ΔE_f (raw)   0.555 eV per atom
E_tot   -4.769 eV per atom

```
data_SnSb2TeOs
_cell_length_a 5.024
_cell_length_b 5.024
_cell_length_c 5.857
_cell_angle_alpha 90.00
_cell_angle_beta 90.00
_cell_angle_gamma 90.00
_space_group_name_H-M_alt 'P 4/m m m'
_space_group_IT_number 123
_space_group_name_Hall '-P 4 2'
loop_
_atom_site_label
_atom_site_fract_x
_atom_site_fract_y
_atom_site_fract_z
Sn1 0.000 0.000 0.000
Sb1 0.000 0.500 0.500
Te1 0.500 0.500 0.000
Os1 0.500 0.500 0.500
```

Entry 7:
SrLaMn2Cu after structural relaxation, computed with PBE.

## Properties
Energy above the most stable polymorph in this dataset   0 meV/atom
E_tot   -4.890 eV per atom
DFT formation energy   0.919 eV per atom

```
data_SrLaMn2Cu
_cell_length_a 5.288
_cell_length_b 5.288
_cell_length_c 5.330
_cell_angle_alpha 90.00
_cell_angle_beta 90.00
_cell_angle_gamma 90.00
_space_group_name_H-M_alt 'P 4/m m m'
_space_group_IT_number 123
_space_group_name_Hall '-P 4 2'
loop_
_atom_site_label
_atom_site_fract_x
_atom_site_fract_y
_atom_site_fract_z
Sr1 0.000 0.000 0.000
La1 0.500 0.500 0.500
Mn1 0.000 0.500 0.500
Cu1 0.500 0.500 0.000
```

Entry 8:
LiCeOs after structural relaxation, computed with PBE.

## Properties
Energy above the most stable polymorph in this dataset   26 meV/atom
E_tot   -6.187 eV per atom
DFT formation energy   0.172 eV per atom

```
data_LiCeOs
_cell_length_a 3.613
_cell_length_b 3.613
_cell_length_c 8.955
_cell_angle_alpha 90.00
_cell_angle_beta 90.00
_cell_angle_gamma 90.00
_space_group_name_H-M_alt 'I 4 m m'
_space_group_IT_number 107
_space_group_name_Hall 'I 4 -2'
loop_
_atom_site_label
_atom_site_fract_x
_atom_site_fract_y
_atom_site_fract_z
Li1 0.000 0.000 0.000
Ce1 0.000 0.000 0.304
Os1 0.000 0.000 0.681
```

- What is the formula in the fourth record?
  Cs2AsOsCl6

- Look up the E_tot of the fifth one.
  -6.880 eV per atom

- Which value of E_tot does entry 8 give?
  -6.187 eV per atom

Copy entry 5 word for word.
Y3ErS3 after structural relaxation, computed with PBE.

## Properties
ΔE_f (raw)   -1.689 eV per atom
E_tot   -6.880 eV per atom

```
data_Y3ErS3
_cell_length_a 10.832
_cell_length_b 10.977
_cell_length_c 5.506
_cell_angle_alpha 90.00
_cell_angle_beta 90.00
_cell_angle_gamma 90.00
_space_group_name_H-M_alt 'C m c m'
_space_group_IT_number 63
_space_group_name_Hall '-C 2c 2'
loop_
_atom_site_label
_atom_site_fract_x
_atom_site_fract_y
_atom_site_fract_z
Y1 0.000 0.122 0.250
Y2 0.246 0.377 0.250
Er1 0.000 0.377 0.750
S1 0.000 0.128 0.750
S2 0.248 0.373 0.750
```